No. 1
The following is a PBE-GGA calculation of ScPWN2 after structural relaxation, from Alexandria.

## Properties
As for the space group: P4/mmm, No. 123. The value obtained for the total magnetic moment is 0.00 μB/cell. Its energy relative to the elements, uncorrected is 1.270 eV per atom. The energy comes out at -6.999 eV per atom.

POSCAR file:
```
ScPWN2
1.0
3.822 0.000 0.000
0.000 4.649 0.000
0.000 0.000 3.822
P Sc N W
1 1 2 1
Direct
0.000 0.000 0.000 P
0.500 0.500 0.500 Sc
0.000 0.000 0.500 N
0.500 0.000 0.000 N
0.000 0.500 0.000 W
```

No. 2
The following is a PBE-GGA calculation of PSe2N after structural relaxation, from Alexandria.

## Properties
As for the space group: I-42d, No. 122. The value obtained for the total magnetic moment is 0.00 μB/cell. The calculation puts the polymorph energy (0 for the lowest one) at 116 meV per atom. Its energy relative to the elements, uncorrected is 1.005 eV per atom. The energy comes out at -4.171 eV per atom.

POSCAR file:
```
PSe2N
1.0
6.135 0.000 0.000
0.000 6.135 0.000
3.067 3.067 3.830
Se N P
4 2 2
Direct
0.375 0.416 0.750 Se
0.166 0.625 0.250 Se
0.584 0.125 0.250 Se
0.875 0.834 0.750 Se
0.250 0.750 0.500 N
0.500 0.500 0.000 N
0.750 0.250 0.500 P
0.000 0.000 0.000 P
```